First-principles (PBE) data for crystalline Pu2SbAu5 at its relaxed geometry, as listed in Alexandria via LeMat-Bulk.

Electronic total energy in eV/atom: -6.49
Formation energy (no corrections) in kcal/mol of atoms: -7.9

Lattice parameters (Å, degrees): 4.488 8.690 9.832 90.00 90.00 104.96
Element x y z (fractional)
Au  0.640  0.280  0.467
Sb  0.457  0.915  0.750
Pu  0.000  0.000  0.500
Pu  0.196  0.391  0.250
Au  0.382  0.764  0.250
Sb  0.543  0.085  0.250
Au  0.194  0.387  0.606
Au  0.360  0.720  0.967
Au  0.806  0.613  0.106
Au  0.360  0.720  0.533
Au  0.806  0.613  0.394
Au  0.618  0.236  0.750
Au  0.640  0.280  0.033
Pu  0.000  0.000  0.000
Au  0.194  0.387  0.894
Pu  0.804  0.609  0.750